Compound: InWNO2
Source: Alexandria
Functional: PBE with a Hubbard U
Structure: optimized geometry

Properties
calculated volume = 71.3 Å³ per cell
crystal system = tetragonal
total magnetic moment = 2.10 μB/f.u.
electronic total energy = -5.08 eV/atom
symmetry = P4/mmm (123)

a b c (Å): 4.1117 4.1117 4.2159
angles (deg): 90.00 90.00 90.00
Fractional coordinates of all 5 atoms:
O: 0.5000 0.0000 0.0000
O: 0.0000 0.5000 0.0000
N: 0.0000 0.0000 0.5000
In: 0.0000 0.0000 0.0000
W: 0.5000 0.5000 0.5000